No. 1
Material: BaAcS2O6
Method: DFT, PBE
State: optimized geometry

POSCAR file:
```
BaAcS2O6
1.0
2.658 1.535 7.283
-2.658 1.535 7.283
0.000 -3.069 7.283
Ba Ac S O
1 1 2 6
Direct
0.000 0.000 0.000
0.500 0.500 0.500
0.226 0.226 0.226
0.774 0.774 0.774
0.039 0.668 0.523
0.332 0.477 0.961
0.477 0.961 0.332
0.523 0.039 0.668
0.668 0.523 0.039
0.961 0.332 0.477
```

Output
**Formation energy without anion corrections**: -1.963 eV per atom
**SG**: R-3, No. 148

No. 2
Material: Rb2HfTaHg
Method: DFT, PBE
State: optimized geometry

POSCAR file:
```
Rb2HfTaHg
1.0
6.073 0.000 0.000
0.000 6.073 0.000
0.000 0.000 5.662
Rb Hf Ta Hg
2 1 1 1
Direct
0.000 0.500 0.000
0.500 0.000 0.000
0.000 0.000 0.500
0.500 0.500 0.500
0.500 0.500 0.000
```

Output
**DFT formation energy**: 1.892 eV per atom
**SG**: P4/mmm, No. 123

No. 3
Material: Hf4PN
Method: DFT, PBE
State: optimized geometry

POSCAR file:
```
Hf4PN
1.0
-3.955 3.955 3.523
3.955 -3.955 3.523
3.955 3.955 -3.523
Hf P N
8 2 2
Direct
0.192 0.000 0.192
0.194 0.485 0.291
0.194 0.903 0.709
0.235 0.444 0.791
0.653 0.444 0.209
0.750 0.058 0.308
0.750 0.442 0.692
0.808 0.000 0.808
0.461 0.961 0.500
0.711 0.711 0.000
0.235 0.235 0.000
0.985 0.485 0.500
```

Output
**Formation energy without anion corrections**: -0.948 eV per atom
**SG**: I4_1md, No. 109

No. 4
Material: RbMg2Cd3
Method: DFT, PBE
State: optimized geometry

POSCAR file:
```
RbMg2Cd3
1.0
6.075 -4.800 0.000
6.075 4.800 0.000
0.000 0.000 6.134
Rb Mg Cd
2 4 6
Direct
0.163 0.837 0.750
0.837 0.163 0.250
0.294 0.294 0.000
0.294 0.294 0.500
0.706 0.706 0.000
0.706 0.706 0.500
0.035 0.571 0.250
0.425 0.575 0.250
0.429 0.965 0.250
0.571 0.035 0.750
0.575 0.425 0.750
0.965 0.429 0.750
```

Output
**DFT formation energy**: -0.065 eV per atom
**SG**: Cmcm, No. 63

No. 5
Material: FeTe
Method: DFT, PBE
State: optimized geometry

POSCAR file:
```
FeTe
1.0
3.689 0.000 0.000
-1.845 3.195 0.000
0.000 0.000 3.352
Fe Te
1 1
Direct
0.000 0.000 0.000
0.667 0.333 0.500
```

Output
**Formation energy without anion corrections**: 0.330 eV per atom
**SG**: P-6m2, No. 187

No. 6
Material: LiHoGe2Pd
Method: DFT, PBE
State: optimized geometry

POSCAR file:
```
LiHoGe2Pd
1.0
4.040 0.000 0.000
0.000 4.040 0.000
0.000 0.000 10.970
Li Ho Ge Pd
2 2 4 2
Direct
0.000 0.000 0.000
0.500 0.500 0.500
0.000 0.500 0.250
0.500 0.000 0.750
0.000 0.500 0.639
0.000 0.500 0.861
0.500 0.000 0.139
0.500 0.000 0.361
0.000 0.000 0.500
0.500 0.500 0.000
```

Output
**DFT formation energy**: -0.736 eV per atom
**SG**: I-4m2, No. 119

No. 7
Material: TiPt4Rh3
Method: DFT, PBE
State: optimized geometry

POSCAR file:
```
TiPt4Rh3
1.0
2.783 0.000 0.000
0.000 7.417 0.000
0.000 0.000 12.435
Ti Pt Rh
2 8 6
Direct
0.000 0.000 0.000
0.500 0.500 0.500
0.000 0.310 0.150
0.000 0.310 0.850
0.000 0.690 0.150
0.000 0.690 0.850
0.500 0.190 0.350
0.500 0.190 0.650
0.500 0.810 0.350
0.500 0.810 0.650
0.000 0.000 0.500
0.000 0.500 0.339
0.000 0.500 0.661
0.500 0.000 0.161
0.500 0.000 0.839
0.500 0.500 0.000
```

Output
**DFT formation energy**: -0.143 eV per atom
**SG**: Immm, No. 71

No. 8
Material: LuGaNi2
Method: DFT, PBE
State: optimized geometry

POSCAR file:
```
LuGaNi2
1.0
4.138 0.000 0.000
-2.069 3.584 0.000
0.000 0.000 12.955
Lu Ga Ni
3 3 6
Direct
0.000 0.000 0.000
0.333 0.667 0.667
0.667 0.333 0.333
0.000 0.000 0.500
0.333 0.667 0.167
0.667 0.333 0.833
0.000 0.000 0.207
0.000 0.000 0.793
0.333 0.667 0.460
0.333 0.667 0.873
0.667 0.333 0.127
0.667 0.333 0.540
```

Output
**DFT formation energy**: -0.550 eV per atom
**SG**: R-3m, No. 166

No. 9
Material: SrMg2Ag2
Method: DFT, PBE
State: optimized geometry

POSCAR file:
```
SrMg2Ag2
1.0
8.298 0.000 0.000
0.000 8.298 0.000
0.000 0.000 3.482
Sr Mg Ag
2 4 4
Direct
0.000 0.000 0.000
0.500 0.500 0.000
0.150 0.350 0.500
0.350 0.850 0.500
0.650 0.150 0.500
0.850 0.650 0.500
0.135 0.635 0.000
0.365 0.135 0.000
0.635 0.865 0.000
0.865 0.365 0.000
```

Output
**DFT formation energy**: -0.128 eV per atom
**SG**: P4/mbm, No. 127
**Distance to the lowest polymorph of the same formula**: 0.116 eV/atom

No. 10
Material: KTa2Cu
Method: DFT, PBE
State: optimized geometry

POSCAR file:
```
KTa2Cu
1.0
5.741 0.000 0.000
0.000 11.651 0.000
-1.053 0.000 2.479
K Ta Cu
2 4 2
Direct
0.000 0.000 0.000
0.500 0.500 0.000
0.250 0.250 0.500
0.250 0.750 0.500
0.750 0.250 0.500
0.750 0.750 0.500
0.000 0.500 0.000
0.500 0.000 0.000
```

Output
**DFT formation energy**: 1.099 eV per atom
**SG**: C2/m, No. 12
**Distance to the lowest polymorph of the same formula**: 0.519 eV/atom

No. 11
Material: ZnGeRh2
Method: DFT, PBE
State: optimized geometry

POSCAR file:
```
ZnGeRh2
1.0
6.064 0.000 0.000
0.000 6.064 0.000
0.000 0.000 6.064
Zn Ge Rh
4 4 8
Direct
0.000 0.000 0.000
0.000 0.500 0.500
0.500 0.000 0.500
0.500 0.500 0.000
0.000 0.000 0.500
0.000 0.500 0.000
0.500 0.000 0.000
0.500 0.500 0.500
0.250 0.250 0.250
0.250 0.250 0.750
0.250 0.750 0.250
0.250 0.750 0.750
0.750 0.250 0.250
0.750 0.250 0.750
0.750 0.750 0.250
0.750 0.750 0.750
```

Output
**DFT formation energy**: -0.501 eV per atom
**SG**: Fm-3m, No. 225

No. 12
Material: MnGeP2
Method: DFT, PBE
State: optimized geometry

POSCAR file:
```
MnGeP2
1.0
3.490 0.000 0.000
-1.745 3.022 0.000
0.000 0.000 18.141
Mn Ge P
3 3 6
Direct
0.000 0.000 0.000
0.333 0.667 0.667
0.667 0.333 0.333
0.000 0.000 0.500
0.333 0.667 0.167
0.667 0.333 0.833
0.000 0.000 0.257
0.000 0.000 0.743
0.333 0.667 0.409
0.333 0.667 0.924
0.667 0.333 0.076
0.667 0.333 0.591
```

Output
**DFT formation energy**: -0.033 eV per atom
**SG**: R-3m, No. 166

| no. | magnetic moment (μB/cell) | calculated total energy (eV/atom) |
| --- | --- | --- |
| 1 | 1.0 | -6.37 |
| 2 | 5.0 | -2.92 |
| 3 | 0.0 | -9.87 |
| 4 | 0.0 | -1.22 |
| 5 | 2.4 | -5.47 |
| 6 | 0.0 | -4.92 |
| 7 | 0.0 | -6.91 |
| 8 | 0.0 | -5.33 |
| 9 | 0.0 | -2.24 |
| 10 | 0.0 | -6.13 |
| 11 | 0.0 | -5.65 |
| 12 | 9.3 | -6.18 |